First-principles (PBE-GGA) data for a geometry-optimized LiPm2Si3Pd4 structure, as listed in Alexandria.

Summary:
The calculation puts the energy at -5.72 eV per atom.

abc: 4.2311 4.2311 9.9760
angles: 90.00 90.00 90.00
Closest atoms and distances in Å follow each position.
Space group P-4m2 (No. 115)
Asymmetric unit:
Li1 0.0000 0.0000 0.0000 [1 per cell]  4 Pd 2.46
Pm1 0.0000 0.5000 0.7518 [2 per cell]  6 Si 3.22-3.26, 8 Pd 3.23-3.28, 2 Li 3.26
Si1 0.0000 0.5000 0.3675 [2 per cell]  5 Pd 2.41-2.49
Si2 0.5000 0.5000 0.0000 [1 per cell]  4 Pd 2.46
Pd1 0.0000 0.0000 0.5000 [1 per cell]  4 Si 2.49
Pd2 0.0000 0.5000 0.1263 [2 per cell]  3 Si 2.41-2.46, 2 Li 2.46
Pd3 0.5000 0.5000 0.5000 [1 per cell]  4 Si 2.49